[1]
Entry from the Alexandria database: a relaxed CsK3In crystal (PBE-GGA).

Lattice parameters (Å, degrees): 7.578 7.578 7.578 90.00 90.00 90.00
Atoms (fractional coordinates):
Cs 0.000 0.000 0.000
K 0.000 0.000 0.500
K 0.000 0.500 0.000
K 0.500 0.000 0.000
In 0.500 0.500 0.500

## Properties
The density of states at the Fermi level is 5.5 states/eV/f.u. For the polymorph energy (0 for the lowest one), the calculation gives 577.6 meV/atom. As for the space group: Pm-3m, No. 221. The value obtained for the formation energy is 0.561 eV/atom. For the magnetization, the calculation gives 0.000 μB per atom. For the energy, the calculation gives -0.0599 Ry per atom.

---

[2]
Entry from the Alexandria database: a relaxed AgSbPtAu crystal (PBE-GGA).

Lattice parameters (Å, degrees): 4.745 4.745 4.745 60.00 60.00 60.00
Atoms (fractional coordinates):
Ag 0.000 0.000 0.000
Sb 0.500 0.500 0.500
Pt 0.250 0.250 0.250
Au 0.750 0.750 0.750

## Properties
The density of states at the Fermi level is 1.2 states/eV/f.u. As for the space group: F-43m, No. 216. As for the raw formation energy: -0.049 eV per atom. For the magnetization, the calculation gives 0.000 μB per atom. For the energy, the calculation gives -0.3030 Ry per atom.

---

[3]
Entry from the Alexandria database: a relaxed Nb2Mo2Cl7 crystal (PBE-GGA).

Lattice parameters (Å, degrees): 5.930 5.930 18.106 92.67 92.67 118.38
Atoms (fractional coordinates):
Nb 0.132 0.865 0.999
Nb 0.135 0.868 0.501
Nb 0.865 0.132 0.499
Nb 0.868 0.135 0.001
Mo 0.225 0.579 0.292
Mo 0.421 0.775 0.208
Mo 0.579 0.225 0.792
Mo 0.775 0.421 0.708
Cl 0.147 0.150 0.905
Cl 0.150 0.147 0.405
Cl 0.184 0.521 0.576
Cl 0.186 0.536 0.085
Cl 0.196 0.804 0.750
Cl 0.464 0.814 0.415
Cl 0.479 0.816 0.924
Cl 0.521 0.184 0.076
Cl 0.536 0.186 0.585
Cl 0.804 0.196 0.250
Cl 0.814 0.464 0.915
Cl 0.816 0.479 0.424
Cl 0.850 0.853 0.595
Cl 0.853 0.850 0.095

## Properties
The density of states at the Fermi level is 2.3 states/eV/f.u. As for the space group: C2/c, No. 15. As for the raw formation energy: -0.487 eV per atom. For the magnetization, the calculation gives 0.089 μB per atom. For the energy, the calculation gives -0.4015 Ry per atom.

---

[4]
Entry from the Alexandria database: a relaxed AcYInRu crystal (PBE-GGA).

Lattice parameters (Å, degrees): 5.304 5.304 5.304 60.00 60.00 60.00
Atoms (fractional coordinates):
Ac 0.000 0.000 0.000
Y 0.500 0.500 0.500
In 0.750 0.750 0.750
Ru 0.250 0.250 0.250

## Properties
The density of states at the Fermi level is 2.7 states/eV/f.u. As for the space group: F-43m, No. 216. The value obtained for the formation energy is -0.139 eV/atom. For the magnetization, the calculation gives 0.000 μB per atom. For the energy, the calculation gives -0.4252 Ry per atom.

---

Calculated volume (Å³/cell)
435.1; 75.5; 557.8; 105.5
Ρ (Mg/m³)
1.39; 13.67; 3.73; 8.37